## Ni2BPt (PBE-GGA)

Data for crystalline Ni2BPt at its relaxed geometry.

Geometry as POSCAR:
```
Ni2BPt
1.0
2.849 0.000 0.000
0.000 8.453 0.000
0.000 0.000 7.151
Ni B Pt
8 4 4
Direct
0.000 0.142 0.069
0.000 0.142 0.431
0.000 0.858 0.569
0.000 0.858 0.931
0.500 0.358 0.569
0.500 0.358 0.931
0.500 0.642 0.069
0.500 0.642 0.431
0.000 0.280 0.750
0.000 0.720 0.250
0.500 0.220 0.250
0.500 0.780 0.750
0.000 0.422 0.250
0.000 0.578 0.750
0.500 0.078 0.750
0.500 0.922 0.250
```

Summary:
DFT total energy (eV/atom): -6.320

## Ni3BPt (PBE-GGA)

Data for crystalline Ni3BPt at its relaxed geometry.

Geometry as POSCAR:
```
Ni3BPt
1.0
7.808 0.000 0.000
0.000 3.452 0.000
0.000 0.000 7.988
Ni B Pt
12 4 4
Direct
0.069 0.250 0.083
0.163 0.750 0.267
0.239 0.750 0.943
0.261 0.250 0.443
0.337 0.250 0.767
0.431 0.750 0.583
0.569 0.250 0.417
0.663 0.750 0.233
0.739 0.750 0.557
0.761 0.250 0.057
0.837 0.250 0.733
0.931 0.750 0.917
0.084 0.250 0.828
0.416 0.750 0.328
0.584 0.250 0.672
0.916 0.750 0.172
0.086 0.750 0.631
0.414 0.250 0.131
0.586 0.750 0.869
0.914 0.250 0.369
```

Summary:
ΔE to the lowest computed polymorph (eV per atom): 0.000

## Ni3B2Pt2 (PBE-GGA)

Data for crystalline Ni3B2Pt2 at its relaxed geometry.

Geometry as POSCAR:
```
Ni3B2Pt2
1.0
8.138 0.000 0.000
0.000 3.033 0.000
-2.533 0.000 6.100
Ni B Pt
6 4 4
Direct
0.000 0.000 0.000
0.121 0.000 0.427
0.379 0.500 0.573
0.500 0.500 0.000
0.621 0.500 0.427
0.879 0.000 0.573
0.153 0.500 0.243
0.347 0.000 0.757
0.653 0.000 0.243
0.847 0.500 0.757
0.159 0.500 0.792
0.341 0.000 0.208
0.659 0.000 0.792
0.841 0.500 0.208
```

Summary:
DFT total energy (eV/atom): -6.351

## NiB7Pt12 (PBE-GGA)

Data for crystalline NiB7Pt12 at its relaxed geometry.

Geometry as POSCAR:
```
NiB7Pt12
1.0
5.723 3.304 2.347
-5.723 3.304 2.347
0.000 -6.608 2.347
Ni B Pt
1 7 12
Direct
0.000 0.000 0.000
0.066 0.174 0.396
0.174 0.396 0.066
0.396 0.066 0.174
0.500 0.500 0.500
0.604 0.934 0.826
0.826 0.604 0.934
0.934 0.826 0.604
0.116 0.191 0.724
0.166 0.493 0.390
0.191 0.724 0.116
0.276 0.884 0.809
0.390 0.166 0.493
0.493 0.390 0.166
0.507 0.610 0.834
0.610 0.834 0.507
0.724 0.116 0.191
0.809 0.276 0.884
0.834 0.507 0.610
0.884 0.809 0.276
```

Summary:
DFT total energy (eV/atom): -6.355

## NiB3Pt5 (PBE-GGA)

Data for crystalline NiB3Pt5 at its relaxed geometry.

Geometry as POSCAR:
```
NiB3Pt5
1.0
5.665 -3.545 0.000
5.665 3.545 0.000
-4.261 0.000 6.063
Ni B Pt
2 6 10
Direct
0.192 0.192 0.025
0.808 0.808 0.975
0.000 0.000 0.000
0.000 0.000 0.500
0.324 0.324 0.360
0.333 0.333 0.919
0.667 0.667 0.081
0.676 0.676 0.640
0.023 0.631 0.309
0.132 0.132 0.336
0.299 0.701 0.000
0.369 0.977 0.691
0.489 0.489 0.305
0.511 0.511 0.695
0.631 0.023 0.309
0.701 0.299 0.000
0.868 0.868 0.664
0.977 0.369 0.691
```

Summary:
DFT total energy (eV/atom): -6.353

## Ni2B2Pt (PBE-GGA)

Data for crystalline Ni2B2Pt at its relaxed geometry.

Geometry as POSCAR:
```
Ni2B2Pt
1.0
2.770 0.000 0.000
0.000 2.770 0.000
0.000 0.000 13.180
Ni B Pt
4 4 2
Direct
0.000 0.000 0.139
0.000 0.000 0.861
0.500 0.500 0.361
0.500 0.500 0.639
0.000 0.500 0.250
0.000 0.500 0.750
0.500 0.000 0.250
0.500 0.000 0.750
0.000 0.000 0.500
0.500 0.500 0.000
```

Summary:
ΔE to the lowest computed polymorph (eV per atom): 0.053

## Ni3BPt (PBE-GGA)

Data for crystalline Ni3BPt at its relaxed geometry.

Geometry as POSCAR:
```
Ni3BPt
1.0
4.594 0.000 0.000
0.000 4.594 0.000
0.000 0.000 4.594
Ni B Pt
3 1 1
Direct
0.000 0.000 0.500
0.000 0.500 0.000
0.500 0.000 0.000
0.500 0.500 0.500
0.000 0.000 0.000
```

Summary:
ΔE to the lowest computed polymorph (eV per atom): 2.058

## NiB2Pt2 (PBE-GGA)

Data for crystalline NiB2Pt2 at its relaxed geometry.

Geometry as POSCAR:
```
NiB2Pt2
1.0
5.683 0.000 0.000
0.000 5.683 0.000
0.000 0.000 3.524
Ni B Pt
2 4 4
Direct
0.000 0.000 0.000
0.500 0.500 0.000
0.106 0.394 0.000
0.394 0.894 0.000
0.606 0.106 0.000
0.894 0.606 0.000
0.247 0.747 0.500
0.253 0.247 0.500
0.747 0.753 0.500
0.753 0.253 0.500
```

Summary:
ΔE to the lowest computed polymorph (eV per atom): 0.076

| no. | magnetic moment (μB per atom) |
| --- | --- |
| 1 | 0.00 |
| 2 | 0.00 |
| 3 | 0.00 |
| 4 | 0.00 |
| 5 | 0.00 |
| 6 | 0.00 |
| 7 | 0.69 |
| 8 | 0.00 |